Computed, not measured: a geometry-optimized TbHoSnHg structure at the PBE-GGA level of DFT.

Structure (POSCAR):
```
TbHoSnHg
1.0
-4.403 -0.251 2.908
-4.639 -1.015 -2.314
-2.383 -4.648 0.788
Tb Hg Sn Ho
1 1 1 1
Direct
0.000 0.000 0.000
0.750 0.750 0.750
0.250 0.250 0.250
0.500 0.500 0.500
```

space-group type	F-43m, No. 216
excess energy over the best structure of this formula in the dataset	0	meV/atom
D(E_F)	3.12	states/eV/cell
total magnetic moment	0.000	μB/cell

---

Computed, not measured: a geometry-optimized TbHoSnHg structure at the PBE-GGA level of DFT.

Structure (POSCAR):
```
TbHoSnHg
1.0
3.793 0.000 0.000
0.000 3.793 0.000
0.000 0.000 7.301
Tb Ho Sn Hg
1 1 1 1
Direct
0.500 0.500 0.604
0.500 0.500 0.111
0.000 0.000 0.860
0.000 0.000 0.353
```

space-group type	P4mm, No. 99
excess energy over the best structure of this formula in the dataset	6	meV/atom
D(E_F)	2.38	states/eV/cell
total magnetic moment	0.000	μB/cell

---

Question: D(E_F) of number 2 (TbHoSnHg)?
Answer: 2.38 states/eV/cell

---

Question: total magnetic moment of number 1 (TbHoSnHg)?
Answer: 0.000 μB/cell